Entry 1:
## K2Tl6Pt (PBE-GGA)

Data for crystalline K2Tl6Pt at its relaxed geometry.

POSCAR file:
```
K2Tl6Pt
1.0
-5.5073 1.4663 -2.1895
-3.1542 -3.8471 5.3236
-1.6723 3.2112 6.3231
Tl K Pt
6 2 1
direct
0.3003 0.3429 0.8290 Tl
0.6997 0.1710 0.6571 Tl
0.2995 0.8280 0.8280 Tl
0.3003 0.8290 0.3429 Tl
0.6997 0.6571 0.1710 Tl
0.7005 0.1720 0.1720 Tl
0.7964 0.6663 0.6663 K
0.2036 0.3337 0.3337 K
0.0000 0.0000 0.0000 Pt
```

Values from the calculation:
* magnetization: 0.0 Bohr magnetons per cell
* polymorph energy (0 for the lowest one): 0 meV per atom
* formation energy: -0.11 eV/atom
* symmetry: No. 12


Entry 2:
## Na3Pr2NdS6 (PBE-GGA)

Data for crystalline Na3Pr2NdS6 at its relaxed geometry.

POSCAR file:
```
Na3Pr2NdS6
1.0
-2.4432 -6.2597 2.5783
1.0666 0.8068 -7.0719
6.7542 -0.3497 2.2004
S Na Pr Nd
6 3 2 1
direct
0.0782 0.4098 0.2344 S
0.9218 0.5902 0.7656 S
0.4098 0.0782 0.2344 S
0.2534 0.2534 0.7659 S
0.5902 0.9218 0.7656 S
0.7466 0.7466 0.2341 S
0.5000 0.5000 0.5000 Na
0.1667 0.8333 0.5000 Na
0.8333 0.1667 0.5000 Na
0.3333 0.6667 0.0000 Pr
0.6667 0.3333 0.0000 Pr
0.0000 0.0000 0.0000 Nd
```

Values from the calculation:
* magnetization: 0.0 Bohr magnetons per cell
* symmetry: No. 12
* uncorrected formation energy: -1785 meV/atom


Question: Number 2 is which compound?
Answer: Na3Pr2NdS6